Below is crystalline Be2AlCl at its relaxed geometry, with properties calculated at the PBE-GGA level.

a = 6.942 Å, b = 6.942 Å, c = 6.942 Å
α = 153.11°, β = 153.11°, γ = 38.39°
Sites, in units of the cell vectors:
Cl 0.500 0.500 0.000
Be 0.000 0.000 0.000
Al 0.750 0.250 0.500
Be 0.250 0.750 0.500

Properties
* total magnetization: 0.0 μB per formula unit
* energy above the most stable polymorph in this dataset: 0.706 eV per atom
* symmetry: No. 119
* ΔE_f (raw): 678 meV/atom